A geometry-optimized Na2NbTc structure. Source: Alexandria via LeMat-Bulk, functional PBE.

Results
Magnetization ... 0.00 μB per formula unit
Electronic total energy ... -16.627 eV/cell
ΔH_f (0 K) ... 1.6117 eV/atom
Crystal system ... cubic
E above lowest polymorph ... 0.270 eV/atom

abc: 4.722 4.722 4.722
angles: 60.00 60.00 60.00
Atoms (fractional coordinates):
Na 0.250 0.250 0.250
Na 0.750 0.750 0.750
Nb 0.000 0.000 0.000
Tc 0.500 0.500 0.500



A geometry-optimized KBaSe structure. Source: Alexandria via LeMat-Bulk, functional PBE.

Results
E_form (uncorrected) ... -1120 meV/atom
Magnetization ... 0.00 μB per formula unit
Electronic total energy ... -9.864 eV/cell
Crystal system ... tetragonal
E above lowest polymorph ... 0.070 eV/atom

abc: 8.538 8.538 8.538
angles: 151.71 151.71 40.44
Atoms (fractional coordinates):
K 0.000 0.000 0.000
Ba 0.231 0.231 0.000
Se 0.644 0.644 0.000



A geometry-optimized Na2HoAgF6 structure. Source: Alexandria via LeMat-Bulk, functional PBE.

Results
E_form (uncorrected) ... -2933 meV/atom
Magnetization ... 0.00 μB per formula unit
Electronic total energy ... -101.243 eV/cell
Crystal system ... monoclinic

abc: 5.903 5.988 10.732
angles: 90.00 122.65 90.00
Atoms (fractional coordinates):
Na 0.211 0.024 0.215
Na 0.211 0.476 0.715
Na 0.789 0.524 0.285
Na 0.789 0.976 0.785
Ho 0.500 0.000 0.000
Ho 0.500 0.500 0.500
Ag 0.000 0.000 0.500
Ag 0.000 0.500 0.000
F 0.155 0.173 0.977
F 0.155 0.327 0.477
F 0.204 0.741 0.869
F 0.204 0.759 0.369
F 0.450 0.153 0.803
F 0.450 0.347 0.303
F 0.550 0.653 0.697
F 0.550 0.847 0.197
F 0.796 0.241 0.631
F 0.796 0.259 0.131
F 0.845 0.673 0.523
F 0.845 0.827 0.023



A geometry-optimized YZrSc structure. Source: Alexandria via LeMat-Bulk, functional PBE.

Results
Magnetization ... 0.01 μB per formula unit
Electronic total energy ... -20.871 eV/cell
ΔH_f (0 K) ... 0.1575 eV/atom
Crystal system ... tetragonal
E above lowest polymorph ... 0.102 eV/atom

abc: 5.987 5.987 5.987
angles: 142.60 142.60 53.93
Atoms (fractional coordinates):
Y 0.000 0.000 0.000
Zr 0.319 0.319 0.000
Sc 0.682 0.682 0.000



A geometry-optimized InNi2SbTe structure. Source: Alexandria via LeMat-Bulk, functional PBE.

Results
E_form (uncorrected) ... 650 meV/atom
Magnetization ... 0.00 μB per formula unit
Electronic total energy ... -18.313 eV/cell
Crystal system ... tetragonal

abc: 4.668 4.668 5.946
angles: 90.00 90.00 90.00
Atoms (fractional coordinates):
In 0.000 0.000 0.000
Ni 0.000 0.500 0.500
Ni 0.500 0.000 0.500
Sb 0.500 0.500 0.000
Te 0.000 0.000 0.500



A geometry-optimized Ti2Al2V structure. Source: Alexandria via LeMat-Bulk, functional PBE.

Results
Magnetization ... 0.17 μB per formula unit
Electronic total energy ... -33.637 eV/cell
ΔH_f (0 K) ... -0.2486 eV/atom
Crystal system ... orthorhombic
E above lowest polymorph ... 0.000 eV/atom

abc: 2.694 6.977 6.977
angles: 36.36 90.00 90.00
Atoms (fractional coordinates):
Ti 0.000 0.000 0.000
Ti 0.000 0.201 0.201
Al 0.500 0.391 0.391
Al 0.500 0.612 0.612
V 0.000 0.808 0.808



A geometry-optimized Sc3Zn2Au3 structure. Source: Alexandria via LeMat-Bulk, functional PBE.

Results
Magnetization ... 0.00 μB per formula unit
Electronic total energy ... -72.439 eV/cell
ΔH_f (0 K) ... -0.6056 eV/atom
Crystal system ... hexagonal

abc: 8.137 8.137 5.320
angles: 90.00 90.00 120.00
Atoms (fractional coordinates):
Sc 0.000 0.256 0.250
Sc 0.000 0.744 0.750
Sc 0.256 0.000 0.250
Sc 0.256 0.256 0.750
Sc 0.744 0.000 0.750
Sc 0.744 0.744 0.250
Zn 0.333 0.667 0.000
Zn 0.333 0.667 0.500
Zn 0.667 0.333 0.000
Zn 0.667 0.333 0.500
Au 0.000 0.391 0.750
Au 0.000 0.609 0.250
Au 0.391 0.000 0.750
Au 0.391 0.391 0.250
Au 0.609 0.000 0.250
Au 0.609 0.609 0.750



A geometry-optimized GeHRu2Cl structure. Source: Alexandria via LeMat-Bulk, functional PBE.

Results
Magnetization ... 3.20 μB per formula unit
Electronic total energy ... -23.308 eV/cell
Crystal system ... tetragonal

abc: 4.822 4.822 3.359
angles: 90.00 90.00 90.00
Atoms (fractional coordinates):
Ge 0.000 0.000 0.000
H 0.000 0.000 0.500
Ru 0.000 0.500 0.000
Ru 0.500 0.000 0.000
Cl 0.500 0.500 0.500



A geometry-optimized Tb8Cd2Au structure. Source: Alexandria via LeMat-Bulk, functional PBE.

Results
Magnetization ... 0.00 μB per formula unit
Electronic total energy ... -44.501 eV/cell
ΔH_f (0 K) ... -0.2138 eV/atom
Crystal system ... monoclinic

abc: 9.438 9.438 6.930
angles: 104.11 104.11 32.22
Atoms (fractional coordinates):
Tb 0.021 0.021 0.269
Tb 0.202 0.202 0.806
Tb 0.342 0.342 0.535
Tb 0.408 0.408 0.049
Tb 0.592 0.592 0.951
Tb 0.658 0.658 0.465
Tb 0.798 0.798 0.194
Tb 0.979 0.979 0.731
Cd 0.187 0.187 0.229
Cd 0.813 0.813 0.771
Au 0.500 0.500 0.500



A geometry-optimized TcPdO2F structure. Source: Alexandria via LeMat-Bulk, functional PBE.

Results
E_form (uncorrected) ... 105 meV/atom
Magnetization ... 4.72 μB per formula unit
Electronic total energy ... -26.822 eV/cell
Crystal system ... tetragonal

abc: 4.049 4.049 4.077
angles: 90.00 90.00 90.00
Atoms (fractional coordinates):
Tc 0.000 0.000 0.000
Pd 0.500 0.500 0.500
O 0.000 0.500 0.500
O 0.500 0.000 0.500
F 0.500 0.500 0.000



A geometry-optimized DyAlZnRh structure. Source: Alexandria via LeMat-Bulk, functional PBE.

Results
Magnetization ... 0.00 μB per formula unit
Electronic total energy ... -19.158 eV/cell
ΔH_f (0 K) ... -0.5471 eV/atom
Crystal system ... cubic

abc: 4.639 4.639 4.639
angles: 60.00 60.00 60.00
Atoms (fractional coordinates):
Dy 0.000 0.000 0.000
Al 0.500 0.500 0.500
Zn 0.250 0.250 0.250
Rh 0.750 0.750 0.750



A geometry-optimized Na2NiBr6 structure. Source: Alexandria via LeMat-Bulk, functional PBE.

Results
E_form (uncorrected) ... -770 meV/atom
Magnetization ... 0.00 μB per formula unit
Electronic total energy ... -50.776 eV/cell
Crystal system ... monoclinic

abc: 7.059 7.291 12.058
angles: 90.00 124.53 90.00
Atoms (fractional coordinates):
Na 0.200 0.182 0.190
Na 0.200 0.318 0.690
Na 0.800 0.682 0.310
Na 0.800 0.818 0.810
Ni 0.500 0.000 0.000
Ni 0.500 0.500 0.500
Br 0.167 0.570 0.273
Br 0.167 0.930 0.773
Br 0.318 0.655 0.595
Br 0.318 0.845 0.095
Br 0.330 0.213 0.499
Br 0.330 0.287 0.999
Br 0.670 0.713 0.001
Br 0.670 0.787 0.501
Br 0.682 0.155 0.905
Br 0.682 0.345 0.405
Br 0.833 0.070 0.227
Br 0.833 0.430 0.727